(1)
Below is a relaxed TeRh crystal, with properties calculated at the PBE-GGA level.

abc: 4.301 8.309 5.112
angles: 90.00 90.00 90.00
Element x y z (fractional)
Te (0.000, 0.211, 0.250)
Te (0.000, 0.789, 0.750)
Te (0.500, 0.289, 0.750)
Te (0.500, 0.711, 0.250)
Rh (0.000, 0.104, 0.750)
Rh (0.000, 0.896, 0.250)
Rh (0.500, 0.396, 0.250)
Rh (0.500, 0.604, 0.750)

Values from the calculation:
For the formation energy without anion corrections, the calculation gives -0.23 eV/atom.

***

(2)
Below is a relaxed TeRh5 crystal, with properties calculated at the PBE-GGA level.

abc: 4.846 4.846 4.505
angles: 90.00 90.00 120.00
Element x y z (fractional)
Te (0.000, 0.000, 0.000)
Rh (0.000, 0.651, 0.500)
Rh (0.333, 0.667, 0.000)
Rh (0.349, 0.349, 0.500)
Rh (0.651, 0.000, 0.500)
Rh (0.667, 0.333, 0.000)

Values from the calculation:
The energy relative to the lowest polymorph listed for this composition comes out at 10 meV per atom. For the formation energy without anion corrections, the calculation gives 0.02 eV/atom.

***

(3)
Below is a relaxed TeRh crystal, with properties calculated at the PBE-GGA level.

abc: 4.151 4.988 4.495
angles: 90.00 107.82 90.00
Element x y z (fractional)
Te (0.242, 0.250, 0.260)
Te (0.758, 0.750, 0.740)
Rh (0.394, 0.750, 0.120)
Rh (0.606, 0.250, 0.880)

Values from the calculation:
For the formation energy without anion corrections, the calculation gives -0.22 eV/atom.

***

(4)
Below is a relaxed TeRh crystal, with properties calculated at the PBE-GGA level.

abc: 11.113 11.113 4.123
angles: 90.00 90.00 90.00
Element x y z (fractional)
Te (0.082, 0.328, 0.000)
Te (0.239, 0.628, 0.500)
Te (0.328, 0.918, 0.000)
Te (0.372, 0.239, 0.500)
Te (0.628, 0.761, 0.500)
Te (0.672, 0.082, 0.000)
Te (0.761, 0.372, 0.500)
Te (0.918, 0.672, 0.000)
Rh (0.119, 0.560, 0.000)
Rh (0.204, 0.395, 0.500)
Rh (0.395, 0.796, 0.500)
Rh (0.440, 0.119, 0.000)
Rh (0.560, 0.881, 0.000)
Rh (0.605, 0.204, 0.500)
Rh (0.796, 0.605, 0.500)
Rh (0.881, 0.440, 0.000)

Values from the calculation:
For the formation energy without anion corrections, the calculation gives -0.22 eV/atom.

***

(5)
Below is a relaxed Te2Rh3 crystal, with properties calculated at the PBE-GGA level.

abc: 4.470 4.470 5.611
angles: 90.00 90.00 120.00
Element x y z (fractional)
Te (0.333, 0.667, 0.228)
Te (0.667, 0.333, 0.772)
Rh (0.000, 0.000, 0.500)
Rh (0.333, 0.667, 0.721)
Rh (0.667, 0.333, 0.279)

Values from the calculation:
For the formation energy without anion corrections, the calculation gives -0.13 eV/atom.

***

(6)
Below is a relaxed TeRh5 crystal, with properties calculated at the PBE-GGA level.

abc: 10.086 2.895 6.613
angles: 90.00 105.72 90.00
Element x y z (fractional)
Te (0.000, 0.000, 0.000)
Te (0.500, 0.500, 0.000)
Rh (0.118, 0.500, 0.715)
Rh (0.168, 0.500, 0.333)
Rh (0.281, 0.000, 0.055)
Rh (0.337, 0.000, 0.660)
Rh (0.450, 0.500, 0.401)
Rh (0.618, 0.000, 0.715)
Rh (0.668, 0.000, 0.333)
Rh (0.781, 0.500, 0.055)
Rh (0.837, 0.500, 0.660)
Rh (0.950, 0.000, 0.401)

Values from the calculation:
The energy relative to the lowest polymorph listed for this composition comes out at 120 meV per atom. For the formation energy without anion corrections, the calculation gives 0.13 eV/atom.